[1]
A plane-wave DFT calculation with PBE-GGA was carried out for an optimized crystal structure of MnMo2Ir2.

Computed properties:
DOS at the Fermi energy: 1.567 states/eV per atom
Raw total energy: -9.484 eV per atom
V: 155.87 Å³/cell

Cell: 7.494 7.494 2.775 Å, 90.00 90.00 90.00°
Space group P4/mbm (No. 127)
Asymmetric unit:
Mn1 0.000 0.000 0.000 [2 per cell]
Mo1 0.171 0.329 0.500 [4 per cell]
Ir1 0.127 0.627 0.000 [4 per cell]

[2]
A plane-wave DFT calculation with PBE-GGA was carried out for an optimized crystal structure of Ac5ReN8.

Computed properties:
DOS at the Fermi energy: 0.445 states/eV per atom
Raw total energy: -7.760 eV per atom
Formation energy (no corrections): -9.04 eV/f.u.
V: 632.32 Å³/cell

Cell: 8.798 8.798 8.170 Å, 90.00 90.00 90.00°
Space group I-4 (No. 82)
Asymmetric unit:
Ac1 0.000 0.000 0.000 [2 per cell]
Ac2 0.191 0.751 0.622 [8 per cell]
Re1 0.000 0.500 0.250 [2 per cell]
N1 0.013 0.778 0.836 [8 per cell]
N2 0.027 0.676 0.369 [8 per cell]

[3]
A plane-wave DFT calculation with PBE-GGA was carried out for an optimized crystal structure of MnNbHg2.

Computed properties:
DOS at the Fermi energy: 1.589 states/eV per atom
Raw total energy: -4.004 eV per atom
V: 309.75 Å³/cell

Cell: 7.536 7.536 5.455 Å, 90.00 90.00 90.00°
Space group I-42d (No. 122)
Asymmetric unit:
Mn1 0.000 0.000 0.000 [4 per cell]
Nb1 0.000 0.000 0.500 [4 per cell]
Hg1 0.223 0.250 0.125 [8 per cell]

[4]
A plane-wave DFT calculation with PBE-GGA was carried out for an optimized crystal structure of CaTcHg2.

Computed properties:
DOS at the Fermi energy: 0.576 states/eV per atom
Raw total energy: -3.012 eV per atom
V: 85.77 Å³/cell
E above lowest polymorph: 0 meV/atom

Cell: 3.226 4.045 6.573 Å, 90.00 90.08 90.00°
Space group P2/m (No. 10)
Asymmetric unit:
Ca1 0.000 0.000 0.000 [1 per cell]
Tc1 0.000 0.000 0.500 [1 per cell]
Hg1 0.499 0.500 0.722 [2 per cell]

[5]
A plane-wave DFT calculation with PBE-GGA was carried out for an optimized crystal structure of CePr2RuN4.

Computed properties:
DOS at the Fermi energy: 0.590 states/eV per atom
Raw total energy: -8.097 eV per atom
Formation energy (no corrections): -6.71 eV/f.u.
V: 502.48 Å³/cell

Cell: 3.475 11.934 12.116 Å, 90.00 90.00 90.00°
Space group Cmcm (No. 63)
Asymmetric unit:
Ce1 0.000 0.112 0.250 [4 per cell]
Pr1 0.000 0.368 0.048 [8 per cell]
Ru1 0.000 0.150 0.750 [4 per cell]
N1 0.000 0.000 0.000 [4 per cell]
N2 0.000 0.279 0.641 [8 per cell]
N3 0.000 0.449 0.250 [4 per cell]

[6]
A plane-wave DFT calculation with PBE-GGA was carried out for an optimized crystal structure of CeNiGe2Pd.

Computed properties:
DOS at the Fermi energy: 1.297 states/eV per atom
Raw total energy: -5.925 eV per atom
V: 180.30 Å³/cell

Cell: 4.239 4.239 10.035 Å, 90.00 90.00 90.00°
Space group I-4m2 (No. 119)
Asymmetric unit:
Ce1 0.000 0.000 0.000 [2 per cell]
Ni1 0.000 0.500 0.250 [2 per cell]
Ge1 0.000 0.000 0.376 [4 per cell]
Pd1 0.000 0.500 0.750 [2 per cell]

[7]
A plane-wave DFT calculation with PBE-GGA was carried out for an optimized crystal structure of LiScVPd2.

Computed properties:
DOS at the Fermi energy: 0.758 states/eV per atom
Raw total energy: -4.844 eV per atom
V: 114.35 Å³/cell

Cell: 4.790 4.790 4.984 Å, 90.00 90.00 90.00°
Space group P4/mmm (No. 123)
Asymmetric unit:
Li1 0.000 0.000 0.000 [1 per cell]
Sc1 0.500 0.500 0.500 [1 per cell]
V1 0.500 0.500 0.000 [1 per cell]
Pd1 0.000 0.500 0.500 [2 per cell]

[8]
A plane-wave DFT calculation with PBE-GGA was carried out for an optimized crystal structure of TlSb3P.

Computed properties:
DOS at the Fermi energy: 1.055 states/eV per atom
Raw total energy: -3.594 eV per atom
Formation energy (no corrections): 2.17 eV/f.u.
V: 150.35 Å³/cell
E above lowest polymorph: 0 meV/atom

Cell: 5.317 5.317 5.317 Å, 90.00 90.00 90.00°
Space group Pm-3m (No. 221)
Asymmetric unit:
Tl1 0.000 0.000 0.000 [1 per cell]
Sb1 0.000 0.500 0.500 [3 per cell]
P1 0.500 0.500 0.500 [1 per cell]

[9]
A plane-wave DFT calculation with PBE-GGA was carried out for an optimized crystal structure of AgPtW2.

Computed properties:
DOS at the Fermi energy: 0.540 states/eV per atom
Raw total energy: -8.476 eV per atom
V: 64.66 Å³/cell
E above lowest polymorph: 87 meV/atom

Cell: 2.735 4.086 5.787 Å, 90.00 90.00 90.00°
Space group Pmm2 (No. 25)
Asymmetric unit:
Ag1 0.000 0.000 0.000 [1 per cell]
Pt1 0.500 0.500 0.251 [1 per cell]
W1 0.000 0.000 0.496 [1 per cell]
W2 0.500 0.500 0.743 [1 per cell]

[10]
A plane-wave DFT calculation with PBE-GGA was carried out for an optimized crystal structure of CsNaAgHg2.

Computed properties:
DOS at the Fermi energy: 0.505 states/eV per atom
Raw total energy: -1.216 eV per atom
V: 179.68 Å³/cell
E above lowest polymorph: 0 meV/atom

Cell: 5.596 5.596 5.738 Å, 90.00 90.00 90.00°
Space group P4/mmm (No. 123)
Asymmetric unit:
Cs1 0.000 0.000 0.000 [1 per cell]
Na1 0.500 0.500 0.000 [1 per cell]
Ag1 0.500 0.500 0.500 [1 per cell]
Hg1 0.000 0.500 0.500 [2 per cell]

[11]
A plane-wave DFT calculation with PBE-GGA was carried out for an optimized crystal structure of RbErFe2I8.

Computed properties:
DOS at the Fermi energy: 1.093 states/eV per atom
Raw total energy: -3.615 eV per atom
Formation energy (no corrections): -8.52 eV/f.u.
V: 1096.61 Å³/cell

Cell: 12.223 8.393 10.735 Å, 90.00 95.25 90.00°
Space group C2/m (No. 12)
Asymmetric unit:
Rb1 0.000 0.000 0.000 [2 per cell]
Er1 0.000 0.000 0.500 [2 per cell]
Fe1 0.124 0.500 0.288 [4 per cell]
I1 0.014 0.251 0.705 [8 per cell]
I2 0.199 0.500 0.074 [4 per cell]
I3 0.246 0.000 0.503 [4 per cell]

[12]
A plane-wave DFT calculation with PBE-GGA was carried out for an optimized crystal structure of PrBPt.

Computed properties:
DOS at the Fermi energy: 0.487 states/eV per atom
Raw total energy: -6.426 eV per atom
V: 224.14 Å³/cell

Cell: 10.908 3.550 5.788 Å, 90.00 90.00 90.00°
Space group Pnma (No. 62)
Asymmetric unit:
Pr1 0.069 0.250 0.237 [4 per cell]
B1 0.178 0.750 0.929 [4 per cell]
Pt1 0.187 0.250 0.725 [4 per cell]

[13]
A plane-wave DFT calculation with PBE-GGA was carried out for an optimized crystal structure of AlPtO2.

Computed properties:
DOS at the Fermi energy: 0.509 states/eV per atom
Raw total energy: -5.467 eV per atom
Formation energy (no corrections): -2.17 eV/f.u.
V: 164.64 Å³/cell

Cell: 3.4538 3.4538 15.9379 Å, 90.00 90.00 120.00°
Space group R-3m (No. 166, hexagonal axes)
Asymmetric unit:
Al1 0.0000 0.0000 0.0000 [3 per cell]
Pt1 0.0000 0.0000 0.5000 [3 per cell]
O1 0.0000 0.0000 0.1126 [6 per cell]

[14]
A plane-wave DFT calculation with PBE-GGA was carried out for an optimized crystal structure of Nd3CCl3.

Computed properties:
DOS at the Fermi energy: 0.388 states/eV per atom
Raw total energy: -5.350 eV per atom
Formation energy (no corrections): -8.38 eV/f.u.
V: 765.96 Å³/cell
E above lowest polymorph: 318 meV/atom

Cell: 8.566 13.833 7.360 Å, 90.00 118.56 90.00°
Space group C2/m (No. 12)
Asymmetric unit:
Nd1 0.189 0.136 0.265 [8 per cell]
Nd2 0.202 0.000 0.741 [4 per cell]
C1 0.107 0.000 0.376 [4 per cell]
Cl1 0.000 0.232 0.500 [4 per cell]
Cl2 0.000 0.303 0.000 [4 per cell]
Cl3 0.088 0.500 0.785 [4 per cell]

[15]
A plane-wave DFT calculation with PBE-GGA was carried out for an optimized crystal structure of SrMg2Ru.

Computed properties:
DOS at the Fermi energy: 0.764 states/eV per atom
Raw total energy: -3.369 eV per atom
V: 189.36 Å³/cell

Cell: 3.494 5.211 10.398 Å, 90.00 90.00 90.00°
Space group Immm (No. 71)
Asymmetric unit:
Sr1 0.000 0.000 0.000 [2 per cell]
Mg1 0.000 0.500 0.199 [4 per cell]
Ru1 0.000 0.000 0.500 [2 per cell]

[16]
A plane-wave DFT calculation with PBE-GGA was carried out for an optimized crystal structure of Dy8CdCo2.

Computed properties:
DOS at the Fermi energy: 1.126 states/eV per atom
Raw total energy: -4.801 eV per atom
V: 584.59 Å³/cell

Cell: 8.558 13.127 5.342 Å, 90.00 103.06 90.00°
Space group C2/m (No. 12)
Asymmetric unit:
Dy1 0.000 0.250 0.000 [4 per cell]
Dy2 0.113 0.000 0.801 [4 per cell]
Dy3 0.200 0.369 0.573 [8 per cell]
Cd1 0.000 0.500 0.000 [2 per cell]
Co1 0.000 0.194 0.500 [4 per cell]

[17]
A plane-wave DFT calculation with PBE-GGA was carried out for an optimized crystal structure of TbGaNiAg.

Computed properties:
DOS at the Fermi energy: 0.816 states/eV per atom
Raw total energy: -4.354 eV per atom
V: 290.05 Å³/cell

Cell: 6.620 6.620 6.620 Å, 90.00 90.00 90.00°
Space group F-43m (No. 216)
Asymmetric unit:
Tb1 0.000 0.000 0.000 [4 per cell]
Ga1 0.000 0.000 0.500 [4 per cell]
Ni1 0.250 0.250 0.750 [4 per cell]
Ag1 0.250 0.250 0.250 [4 per cell]

[18]
A plane-wave DFT calculation with PBE-GGA was carried out for an optimized crystal structure of Be2NbIr.

Computed properties:
DOS at the Fermi energy: 0.645 states/eV per atom
Raw total energy: -6.348 eV per atom
V: 230.83 Å³/cell

Cell: 3.711 3.711 16.764 Å, 90.00 90.00 90.00°
Space group I-42d (No. 122)
Asymmetric unit:
Be1 0.179 0.250 0.125 [8 per cell]
Nb1 0.000 0.000 0.500 [4 per cell]
Ir1 0.000 0.000 0.000 [4 per cell]

[19]
A plane-wave DFT calculation with PBE-GGA was carried out for an optimized crystal structure of K2HgF2.

Computed properties:
DOS at the Fermi energy: 0.000 states/eV per atom
Raw total energy: -3.281 eV per atom
Formation energy (no corrections): -10.17 eV/f.u.
V: 308.78 Å³/cell

Cell: 4.994 4.994 12.380 Å, 90.00 90.00 90.00°
Space group I4/mmm (No. 139)
Asymmetric unit:
K1 0.000 0.000 0.198 [4 per cell]
Hg1 0.000 0.000 0.500 [2 per cell]
F1 0.000 0.500 0.250 [4 per cell]